A plane-wave DFT calculation with PBE was carried out for a relaxed Na3LiIn crystal.

Cell lengths 3.311, 8.785, 8.785 Å; angles 37.69, 90.00, 90.00 degrees
Fractional coordinates of all 5 atoms:
Na (0.000, 0.000, 0.000)
Na (0.500, 0.067, 0.573)
Na (0.500, 0.573, 0.067)
Li (0.500, 0.158, 0.158)
In (0.000, 0.649, 0.649)

**Distance to the lowest polymorph of the same formula**: 0.818 eV/f.u.
**Symmetry**: Amm2
**Uncorrected energy**: -1.625 eV/atom
**Energy of formation from the pure elements**: 0.0967 eV/atom
**ρ**: 2.03 g/cm3